The following is a DFT calculation (SCAN) of a crystal of Pr4Ge3S12 relaxed with PBEsol.

Output
* mass density: 4.6 g cm⁻³
* symmetry: No. 161
* crystal system: trigonal
* E: -747.5 eV/cell
* N(E_F): 0.000 states/eV per atom
* formation energy without anion corrections: -1.45 eV/atom

Unit cell a=7.923 b=11.406 c=11.406 alpha=114.81 beta=103.39 gamma=103.39
Fractional positions:
S: 0.722 0.601 0.534
Ge: 0.649 0.788 0.614
Pr: 0.527 0.462 0.238
S: 0.156 0.284 0.736
Pr: 0.065 0.776 0.538
Ge: 0.361 0.212 0.826
Ge: 0.035 0.386 0.174
S: 0.707 0.288 0.313
Ge: 0.149 0.614 0.788
S: 0.188 0.466 0.067
Pr: 0.027 0.238 0.462
S: 0.626 0.813 0.815
Pr: 0.502 0.000 0.000
S: 0.394 0.687 0.976
S: 0.688 0.067 0.466
Ge: 0.535 0.174 0.386
S: 0.222 0.534 0.601
S: 0.871 0.452 0.716
Pr: 0.790 0.224 0.762
S: 0.813 0.002 0.187
Pr: 0.565 0.538 0.776
S: 0.371 0.716 0.452
Pr: 0.290 0.762 0.224
S: 0.419 0.024 0.712
Pr: 0.002 0.000 0.000
Ge: 0.861 0.826 0.212
S: 0.621 0.399 0.933
S: 0.812 0.185 0.998
S: 0.919 0.548 0.264
S: 0.656 0.736 0.284
S: 0.894 0.976 0.687
S: 0.312 0.998 0.185
S: 0.121 0.933 0.399
S: 0.419 0.264 0.548
S: 0.207 0.313 0.288
S: 0.919 0.712 0.024
S: 0.126 0.815 0.813
S: 0.313 0.187 0.002